Record 1
VASP calculation (PBE) on Na2PuAgF8 after structural relaxation.

Structure (CIF):
```
data_Na2PuAgF8
_symmetry_space_group_name_H-M 'P 1'
_symmetry_Int_Tables_number 1
_cell_length_a 3.854
_cell_length_b 8.167
_cell_length_c 5.528
_cell_angle_alpha 90.00
_cell_angle_beta 90.16
_cell_angle_gamma 90.00
loop_
_symmetry_equiv_pos_as_xyz
'x,y,z'
loop_
_atom_site_label
_atom_site_type_symbol
_atom_site_fract_x
_atom_site_fract_y
_atom_site_fract_z
Na1 Na 0.000 0.225 0.000
Na2 Na 0.000 0.775 0.000
Pu1 Pu 0.500 0.500 0.500
Ag1 Ag 0.500 0.000 0.500
F1 F 0.001 0.500 0.274
F2 F 0.003 0.000 0.266
F3 F 0.499 0.292 0.742
F4 F 0.499 0.708 0.742
F5 F 0.501 0.292 0.258
F6 F 0.501 0.708 0.258
F7 F 0.997 0.000 0.734
F8 F 0.999 0.500 0.726
```

Properties
D(E_F) = 0.544 states/eV per atom
Space-group type = P2/m

Record 2
VASP calculation (PBE) on NaPuAg2F6 after structural relaxation.

Structure (CIF):
```
data_NaPuAg2F6
_symmetry_space_group_name_H-M 'P 1'
_symmetry_Int_Tables_number 1
_cell_length_a 6.103
_cell_length_b 6.103
_cell_length_c 6.132
_cell_angle_alpha 118.85
_cell_angle_beta 118.85
_cell_angle_gamma 61.47
loop_
_symmetry_equiv_pos_as_xyz
'x,y,z'
loop_
_atom_site_label
_atom_site_type_symbol
_atom_site_fract_x
_atom_site_fract_y
_atom_site_fract_z
Na1 Na 0.000 0.000 0.000
Pu1 Pu 0.500 0.500 0.500
Ag1 Ag 0.246 0.246 0.775
Ag2 Ag 0.754 0.754 0.225
F1 F 0.178 0.667 0.173
F2 F 0.257 0.257 0.402
F3 F 0.333 0.822 0.827
F4 F 0.667 0.178 0.173
F5 F 0.743 0.743 0.598
F6 F 0.822 0.333 0.827
```

Properties
D(E_F) = 0.540 states/eV per atom
Space-group type = C2/m

Record 3
VASP calculation (PBE) on NaPuAg2F8 after structural relaxation.

Structure (CIF):
```
data_NaPuAg2F8
_symmetry_space_group_name_H-M 'P 1'
_symmetry_Int_Tables_number 1
_cell_length_a 6.631
_cell_length_b 6.631
_cell_length_c 6.456
_cell_angle_alpha 90.00
_cell_angle_beta 90.00
_cell_angle_gamma 120.00
loop_
_symmetry_equiv_pos_as_xyz
'x,y,z'
loop_
_atom_site_label
_atom_site_type_symbol
_atom_site_fract_x
_atom_site_fract_y
_atom_site_fract_z
Na1 Na 0.000 0.000 0.000
Pu1 Pu 0.000 0.000 0.500
Ag1 Ag 0.333 0.667 0.662
Ag2 Ag 0.667 0.333 0.338
F1 F 0.137 0.274 0.726
F2 F 0.137 0.863 0.726
F3 F 0.274 0.137 0.274
F4 F 0.333 0.667 0.335
F5 F 0.667 0.333 0.665
F6 F 0.726 0.863 0.726
F7 F 0.863 0.137 0.274
F8 F 0.863 0.726 0.274
```

Properties
D(E_F) = 0.873 states/eV per atom
Space-group type = P-3m1

Record 4
VASP calculation (PBE) on RbNaAgF4 after structural relaxation.

Structure (CIF):
```
data_RbNaAgF4
_symmetry_space_group_name_H-M 'P 1'
_symmetry_Int_Tables_number 1
_cell_length_a 7.272
_cell_length_b 7.272
_cell_length_c 6.236
_cell_angle_alpha 90.00
_cell_angle_beta 90.00
_cell_angle_gamma 129.56
loop_
_symmetry_equiv_pos_as_xyz
'x,y,z'
loop_
_atom_site_label
_atom_site_type_symbol
_atom_site_fract_x
_atom_site_fract_y
_atom_site_fract_z
Rb1 Rb 0.104 0.896 0.750
Rb2 Rb 0.896 0.104 0.250
Na1 Na 0.395 0.605 0.750
Na2 Na 0.605 0.395 0.250
Ag1 Ag 0.260 0.740 0.250
Ag2 Ag 0.740 0.260 0.750
F1 F 0.000 0.500 0.000
F2 F 0.000 0.500 0.500
F3 F 0.093 0.907 0.250
F4 F 0.432 0.568 0.250
F5 F 0.500 0.000 0.000
F6 F 0.500 0.000 0.500
F7 F 0.568 0.432 0.750
F8 F 0.907 0.093 0.750
```

Properties
D(E_F) = 0.376 states/eV per atom
Space-group type = Cmcm

Record 5
VASP calculation (PBE) on Rb2NaAg2F7 after structural relaxation.

Structure (CIF):
```
data_Rb2NaAg2F7
_symmetry_space_group_name_H-M 'P 1'
_symmetry_Int_Tables_number 1
_cell_length_a 11.594
_cell_length_b 11.594
_cell_length_c 11.594
_cell_angle_alpha 158.00
_cell_angle_beta 158.00
_cell_angle_gamma 31.30
loop_
_symmetry_equiv_pos_as_xyz
'x,y,z'
loop_
_atom_site_label
_atom_site_type_symbol
_atom_site_fract_x
_atom_site_fract_y
_atom_site_fract_z
Rb1 Rb 0.182 0.182 0.000
Rb2 Rb 0.818 0.818 0.000
Na1 Na 0.000 0.000 0.000
Ag1 Ag 0.405 0.405 0.000
Ag2 Ag 0.595 0.595 0.000
F1 F 0.089 0.589 0.500
F2 F 0.306 0.306 0.000
F3 F 0.411 0.911 0.500
F4 F 0.500 0.500 0.000
F5 F 0.589 0.089 0.500
F6 F 0.694 0.694 0.000
F7 F 0.911 0.411 0.500
```

Properties
D(E_F) = 0.275 states/eV per atom
Space-group type = I4/mmm

Record 6
VASP calculation (PBE) on RbNaAgF2 after structural relaxation.

Structure (CIF):
```
data_RbNaAgF2
_symmetry_space_group_name_H-M 'P 1'
_symmetry_Int_Tables_number 1
_cell_length_a 5.064
_cell_length_b 5.064
_cell_length_c 5.599
_cell_angle_alpha 90.00
_cell_angle_beta 90.00
_cell_angle_gamma 90.00
loop_
_symmetry_equiv_pos_as_xyz
'x,y,z'
loop_
_atom_site_label
_atom_site_type_symbol
_atom_site_fract_x
_atom_site_fract_y
_atom_site_fract_z
Rb1 Rb 0.000 0.000 0.000
Na1 Na 0.000 0.000 0.500
Ag1 Ag 0.500 0.500 0.500
F1 F 0.000 0.500 0.000
F2 F 0.500 0.000 0.000
```

Properties
D(E_F) = 0.473 states/eV per atom
Space-group type = P4/mmm

Record 7
VASP calculation (PBE) on RbNaAg2F8 after structural relaxation.

Structure (CIF):
```
data_RbNaAg2F8
_symmetry_space_group_name_H-M 'P 1'
_symmetry_Int_Tables_number 1
_cell_length_a 6.653
_cell_length_b 6.653
_cell_length_c 6.653
_cell_angle_alpha 124.83
_cell_angle_beta 124.83
_cell_angle_gamma 81.83
loop_
_symmetry_equiv_pos_as_xyz
'x,y,z'
loop_
_atom_site_label
_atom_site_type_symbol
_atom_site_fract_x
_atom_site_fract_y
_atom_site_fract_z
Rb1 Rb 0.000 0.000 0.000
Na1 Na 0.250 0.750 0.500
Ag1 Ag 0.500 0.500 0.000
Ag2 Ag 0.750 0.250 0.500
F1 F 0.023 0.087 0.622
F2 F 0.200 0.461 0.635
F3 F 0.434 0.800 0.260
F4 F 0.465 0.401 0.378
F5 F 0.539 0.174 0.740
F6 F 0.599 0.977 0.063
F7 F 0.826 0.566 0.365
F8 F 0.913 0.535 0.937
```

Properties
Space-group type = I-4

Record 8
VASP calculation (PBE) on Rb3Na2AgF9 after structural relaxation.

Structure (CIF):
```
data_Rb3Na2AgF9
_symmetry_space_group_name_H-M 'P 1'
_symmetry_Int_Tables_number 1
_cell_length_a 6.227
_cell_length_b 6.227
_cell_length_c 7.742
_cell_angle_alpha 90.00
_cell_angle_beta 90.00
_cell_angle_gamma 120.00
loop_
_symmetry_equiv_pos_as_xyz
'x,y,z'
loop_
_atom_site_label
_atom_site_type_symbol
_atom_site_fract_x
_atom_site_fract_y
_atom_site_fract_z
Rb1 Rb 0.000 0.000 0.000
Rb2 Rb 0.333 0.667 0.701
Rb3 Rb 0.667 0.333 0.299
Na1 Na 0.333 0.667 0.169
Na2 Na 0.667 0.333 0.831
Ag1 Ag 0.000 0.000 0.500
F1 F 0.000 0.500 0.000
F2 F 0.157 0.313 0.347
F3 F 0.157 0.843 0.347
F4 F 0.313 0.157 0.653
F5 F 0.500 0.000 0.000
F6 F 0.500 0.500 0.000
F7 F 0.687 0.843 0.347
F8 F 0.843 0.157 0.653
F9 F 0.843 0.687 0.653
```

Properties
D(E_F) = 0.887 states/eV per atom
Space-group type = P-3m1

Formation energy without anion corrections values, unit eV per formula unit, following the record order: -32.0 -23.5 -26.0 -14.0 -23.2 -4.6 -19.9 -32.4.
Total DFT energy (no corrections) values, unit eV for the cell shown, following the record order: -66.8 -56.1 -62.3 -53.2 -45.3 -13.5 -42.9 -57.6.
Total magnetic moment values, unit μB/f.u., following the record order: 3.2 4.8 3.0 0.4 0.0 0.0 0.0 1.9.